Density functional theory data (GGA-PBE) for CeSm8Y6 after structural relaxation.

Results
Energy relative to the elements: 0.1210 eV per atom
Mass density: 6.23 g cm⁻³
Crystal system: trigonal

Cell and atoms, written as CIF:
```
data_CeSm8Y6
_space_group_name_H-M_alt 'R -3'
_space_group_IT_number 148
_space_group_name_Hall '-R 3'
_cell_length_a 9.1165
_cell_length_b 9.1165
_cell_length_c 20.8490
_cell_angle_alpha 90.00
_cell_angle_beta 90.00
_cell_angle_gamma 120.00
loop_
_atom_site_label
_atom_site_type_symbol
_atom_site_fract_x
_atom_site_fract_y
_atom_site_fract_z
_atom_site_occupancy
Ce1 Ce 0.0000 0.0000 0.0000 1
Sm1 Sm 0.0000 0.0000 0.4227 1
Sm2 Sm 0.0812 0.5204 0.8048 1
Y1 Y 0.0495 0.8045 0.7069 1
```